## TiNiPb3 (PBE)

Data for a relaxed structure of TiNiPb3.

Cell: 5.095 5.095 5.095 Å, 90.00 90.00 90.00°
Positions (direct):
Ti 0.500 0.500 0.500
Pb 0.000 0.500 0.000
Pb 0.500 0.000 0.000
Pb 0.000 0.000 0.500
Ni 0.000 0.000 0.000

Calculated values
* space-group type: Pm-3m (221)
* density: 9.1 g/cm³
* formation energy: 14.00 kcal/mol of atoms